--- one ---
BeSbCl2: PBEsol geometry, SCAN.

Results
- Mass density: 4.228 g/cm3
- SG: No. 47
- Density of states at the Fermi level: 0.38 states/eV per atom

Lattice parameters (Å, degrees): 3.165 4.177 5.993 90.00 90.00 90.00
Atoms (fractional coordinates):
Cl 0.000 0.000 0.258
Be 0.500 0.500 0.500
Cl 0.000 0.000 0.742
Sb 0.500 0.500 0.000

=====

--- two ---
BeSbCl2: PBEsol geometry, SCAN.

Results
- Mass density: 3.650 g/cm3
- SG: No. 122
- Density of states at the Fermi level: 0.38 states/eV per atom

Lattice parameters (Å, degrees): 6.365 6.365 6.365 90.72 119.59 119.59
Atoms (fractional coordinates):
Sb 0.000 0.000 0.000
Cl 0.308 0.875 0.683
Be 0.500 0.250 0.750
Sb 0.500 0.750 0.250
Cl 0.692 0.375 0.567
Be 0.000 0.500 0.500
Cl 0.808 0.433 0.125
Cl 0.192 0.317 0.625

=====

--- three ---
BeSbCl2: PBEsol geometry, SCAN.

Results
- Mass density: 3.219 g/cm3
- SG: No. 65
- Density of states at the Fermi level: 0.25 states/eV per atom

Lattice parameters (Å, degrees): 2.995 3.414 11.322 90.00 90.00 116.01
Atoms (fractional coordinates):
Sb 0.500 0.000 0.500
Cl 0.000 0.000 0.872
Be 0.500 0.000 0.000
Cl 0.000 0.000 0.128

=====

If we sort the structures by their calculated energies, the order from most to least stable is three, two, one.

=====

--- one ---
Be2SbCl: PBEsol geometry, SCAN.

Results
- Mass density: 4.321 g/cm3
- SG: No. 99
- Density of states at the Fermi level: 0.22 states/eV per atom

Lattice parameters (Å, degrees): 3.662 3.667 5.016 90.00 90.00 90.00
Atoms (fractional coordinates):
Sb 0.500 0.500 0.854
Be 0.500 0.500 0.358
Be 0.000 0.000 0.937
Cl 0.000 0.000 0.351

=====

--- two ---
Be2SbCl: PBEsol geometry, SCAN.

Results
- Mass density: 4.347 g/cm3
- SG: No. 123
- Density of states at the Fermi level: 0.33 states/eV per atom

Lattice parameters (Å, degrees): 3.158 3.158 6.709 90.00 90.00 90.00
Atoms (fractional coordinates):
Be 0.000 0.000 0.734
Cl 0.500 0.500 0.000
Be 0.000 0.000 0.266
Sb 0.500 0.500 0.500

=====

If we sort the structures by their calculated energies, the order from most to least stable is one, two.

=====

--- one ---
BeSbCl: PBEsol geometry, SCAN.

Results
- Mass density: 4.574 g/cm3
- SG: No. 156
- Density of states at the Fermi level: 0.26 states/eV per atom

Lattice parameters (Å, degrees): 3.193 3.193 6.834 90.00 90.00 120.00
Atoms (fractional coordinates):
Be 0.000 0.000 0.956
Cl 0.333 0.667 0.785
Sb 0.667 0.333 0.259

=====

--- two ---
BeSbCl: PBEsol geometry, SCAN.

Results
- Mass density: 4.123 g/cm3
- SG: No. 42
- Density of states at the Fermi level: 0.29 states/eV per atom

Lattice parameters (Å, degrees): 3.082 3.371 7.407 84.54 77.99 62.80
Atoms (fractional coordinates):
Be 0.982 0.000 0.037
Sb 0.630 0.000 0.739
Cl 0.388 0.000 0.224

=====

If we sort the structures by their calculated energies, the order from most to least stable is one, two.